A relaxed structure of Cd3MoPb, computed with PBE.

Properties
energy of formation	6.67	eV per formula unit
space group	Pm-3m (221)

abc: 5.621 5.621 5.621
angles: 90.00 90.00 90.00
Site moments in Bohr magnetons follow the coordinates.
Fractional coordinates of all 5 atoms:
Mo 0.500 0.500 0.500  3.89
Cd 0.000 0.500 0.000  -0.02
Pb 0.000 0.000 0.000  0.01
Cd 0.000 0.000 0.500  -0.01
Cd 0.500 0.000 0.000  0.01